First-principles (PBE-GGA) data for a relaxed RbThAgSe3 crystal, as listed in OQMD via LeMat-Bulk.

Values from the calculation:
Total magnetic moment in μB/cell: 0.01
E in eV/atom: -4.942

a = 7.912 Å, b = 7.912 Å, c = 11.083 Å
α = 90.00°, β = 90.00°, γ = 148.19°
Element x y z (fractional)
Ag1 0.465 0.535 0.250
Ag2 0.535 0.465 0.750
Rb1 0.747 0.253 0.250
Rb2 0.253 0.747 0.750
Se1 0.374 0.626 0.047
Se2 0.069 0.931 0.250
Se3 0.374 0.626 0.453
Se4 0.626 0.374 0.547
Se5 0.931 0.069 0.750
Se6 0.626 0.374 0.953
Th1 0.000 0.000 0.000
Th2 0.000 0.000 0.500